# Fe2SiIr (PBE-GGA, relaxed)
data_Fe2SiIr
_chemical_formula_sum 'Fe2 Si1 Ir1'
_cell_length_a 4.2501
_cell_length_b 4.2501
_cell_length_c 2.7226
_cell_angle_alpha 90.00
_cell_angle_beta 90.00
_cell_angle_gamma 90.00
_symmetry_space_group_name_H-M 'P 4/m m m'
_symmetry_Int_Tables_number 123
_symmetry_space_group_name_Hall '-P 4 2'
loop_
_atom_site_label
_atom_site_type_symbol
_atom_site_fract_x
_atom_site_fract_y
_atom_site_fract_z
_atom_site_occupancy
Fe1 Fe 0.0000 0.5000 0.0000 1
Si1 Si 0.0000 0.0000 0.5000 1
Ir1 Ir 0.5000 0.5000 0.5000 1
# - Uncorrected formation energy: -5.33 kJ per mole of atoms
# - E_tot: -0.5775 Ry per atom
# - Spin magnetization: 3.50 μB/cell